Record 1
# Rb4As2Se5 | Alexandria | GGA-PBE | relaxed
# Energy = -3.575 eV per atom
# Volume = 436.8 Å³ per cell
# Space group = Cm (8)
data_Rb4As2Se5
_cell_length_a 7.033
_cell_length_b 7.033
_cell_length_c 9.728
_cell_angle_alpha 102.26
_cell_angle_beta 102.26
_cell_angle_gamma 70.04
_space_group_name_H-M_alt 'P 1'
_space_group_IT_number 1
_space_group_name_Hall 'P 1'
loop_
_atom_site_label
_atom_site_fract_x
_atom_site_fract_y
_atom_site_fract_z
Rb1 0.000 0.000 0.000
Rb2 0.322 0.322 0.286
Rb3 0.545 0.545 0.030
Rb4 0.690 0.690 0.621
As1 0.229 0.229 0.764
As2 0.976 0.976 0.383
Se1 0.009 0.009 0.645
Se2 0.020 0.479 0.925
Se3 0.318 0.846 0.331
Se4 0.479 0.020 0.925
Se5 0.846 0.318 0.331

---

Record 2
# RbAs2Se2 | Alexandria | GGA-PBE | relaxed
# Energy = -3.443 eV per atom
# Volume = 130.0 Å³ per cell
# Energy above the most stable polymorph in this dataset = 0.2107 eV per atom
# Space group = I4/mmm (139)
data_RbAs2Se2
_cell_length_a 7.678
_cell_length_b 7.678
_cell_length_c 7.678
_cell_angle_alpha 147.52
_cell_angle_beta 147.52
_cell_angle_gamma 46.59
_space_group_name_H-M_alt 'P 1'
_space_group_IT_number 1
_space_group_name_Hall 'P 1'
loop_
_atom_site_label
_atom_site_fract_x
_atom_site_fract_y
_atom_site_fract_z
Rb1 0.000 0.000 0.000
As1 0.250 0.750 0.500
As2 0.750 0.250 0.500
Se1 0.409 0.409 0.000
Se2 0.591 0.591 0.000

---

> Among the records above, which one has the lowest energy?

Rb4As2Se5